Record 1
# ZrTc3Cl PBE-GGA optimized geometry
data_ZrTc3Cl
_space_group_name_H-M_alt 'P m -3 m'
_space_group_IT_number 221
_space_group_name_Hall '-P 4 2 3'
_cell_length_a 4.384
_cell_length_b 4.384
_cell_length_c 4.384
_cell_angle_alpha 90.00
_cell_angle_beta 90.00
_cell_angle_gamma 90.00
loop_
_atom_site_label
_atom_site_type_symbol
_atom_site_fract_x
_atom_site_fract_y
_atom_site_fract_z
_atom_site_occupancy
Zr1 Zr 0.000 0.000 0.000 1
Tc1 Tc 0.000 0.500 0.500 1
Cl1 Cl 0.500 0.500 0.500 1
# Total energy in eV for the cell shown: -38.3
# Distance to the lowest polymorph of the same formula in meV/atom: 0.0
# DOS(E_F) in states/eV per cell: 3.80
# Formation energy (no corrections) in eV per atom: 0.648

---

Record 2
# La3HfAl PBE-GGA optimized geometry
data_La3HfAl
_space_group_name_H-M_alt 'P m -3 m'
_space_group_IT_number 221
_space_group_name_Hall '-P 4 2 3'
_cell_length_a 5.678
_cell_length_b 5.678
_cell_length_c 5.678
_cell_angle_alpha 90.00
_cell_angle_beta 90.00
_cell_angle_gamma 90.00
loop_
_atom_site_label
_atom_site_type_symbol
_atom_site_fract_x
_atom_site_fract_y
_atom_site_fract_z
_atom_site_occupancy
La1 La 0.000 0.000 0.500 1
Hf1 Hf 0.000 0.000 0.000 1
Al1 Al 0.500 0.500 0.500 1
# Total energy in eV for the cell shown: -25.4
# Formation energy from the elements in meV/atom: 612
# Distance to the lowest polymorph of the same formula in meV/atom: 0.0
# DOS(E_F) in states/eV per cell: 5.75

---

Record 3
# HfTl2W PBE-GGA optimized geometry
data_HfTl2W
_space_group_name_H-M_alt 'F m -3 m'
_space_group_IT_number 225
_space_group_name_Hall '-F 4 2 3'
_cell_length_a 6.899
_cell_length_b 6.899
_cell_length_c 6.899
_cell_angle_alpha 90.00
_cell_angle_beta 90.00
_cell_angle_gamma 90.00
loop_
_atom_site_label
_atom_site_type_symbol
_atom_site_fract_x
_atom_site_fract_y
_atom_site_fract_z
_atom_site_occupancy
Hf1 Hf 0.000 0.000 0.000 1
Tl1 Tl 0.250 0.250 0.250 1
W1 W 0.000 0.000 0.500 1
# Total energy in eV for the cell shown: -97.8
# Formation energy from the elements in meV/atom: 800
# Distance to the lowest polymorph of the same formula in meV/atom: 0.0
# DOS(E_F) in states/eV per cell: 16.36

---

Record 4
# LiTl4Te3Se8 PBE-GGA optimized geometry
data_LiTl4Te3Se8
_space_group_name_H-M_alt 'C 1 2/m 1'
_space_group_IT_number 12
_space_group_name_Hall '-C 2y'
_cell_length_a 14.862
_cell_length_b 8.272
_cell_length_c 8.909
_cell_angle_alpha 90.00
_cell_angle_beta 123.97
_cell_angle_gamma 90.00
loop_
_atom_site_label
_atom_site_type_symbol
_atom_site_fract_x
_atom_site_fract_y
_atom_site_fract_z
_atom_site_occupancy
Li1 Li 0.000 0.000 0.000 1
Tl1 Tl 0.000 0.000 0.500 1
Tl2 Tl 0.000 0.500 0.500 1
Tl3 Tl 0.250 0.250 0.500 1
Te1 Te 0.000 0.500 0.000 1
Te2 Te 0.250 0.250 0.000 1
Se1 Se 0.014 0.248 0.799 1
Se2 Se 0.234 0.000 0.206 1
Se3 Se 0.248 0.500 0.217 1
# Total energy in eV for the cell shown: -105.8
# DOS(E_F) in states/eV per cell: 6.94
# Formation energy (no corrections) in eV per atom: -0.264

---

Record 5
# Ba2TeI PBE-GGA optimized geometry
data_Ba2TeI
_space_group_name_H-M_alt 'I -4 2 d'
_space_group_IT_number 122
_space_group_name_Hall 'I -4 2bw'
_cell_length_a 7.933
_cell_length_b 7.933
_cell_length_c 15.750
_cell_angle_alpha 90.00
_cell_angle_beta 90.00
_cell_angle_gamma 90.00
loop_
_atom_site_label
_atom_site_type_symbol
_atom_site_fract_x
_atom_site_fract_y
_atom_site_fract_z
_atom_site_occupancy
Ba1 Ba 0.231 0.250 0.125 1
Te1 Te 0.000 0.000 0.000 1
I1 I 0.000 0.000 0.500 1
# Total energy in eV for the cell shown: -54.8
# Distance to the lowest polymorph of the same formula in meV/atom: 286.7
# DOS(E_F) in states/eV per cell: 12.02
# Formation energy (no corrections) in eV per atom: -1.291

---

Record 6
# FeSb2IN PBE-GGA optimized geometry
data_FeSb2IN
_space_group_name_H-M_alt 'P 4/m m m'
_space_group_IT_number 123
_space_group_name_Hall '-P 4 2'
_cell_length_a 4.603
_cell_length_b 4.603
_cell_length_c 4.913
_cell_angle_alpha 90.00
_cell_angle_beta 90.00
_cell_angle_gamma 90.00
loop_
_atom_site_label
_atom_site_type_symbol
_atom_site_fract_x
_atom_site_fract_y
_atom_site_fract_z
_atom_site_occupancy
Fe1 Fe 0.000 0.000 0.000 1
Sb1 Sb 0.000 0.500 0.500 1
I1 I 0.500 0.500 0.000 1
N1 N 0.500 0.500 0.500 1
# Total energy in eV for the cell shown: -20.1
# Distance to the lowest polymorph of the same formula in meV/atom: 0.0
# DOS(E_F) in states/eV per cell: 5.90
# Formation energy (no corrections) in eV per atom: 1.300

---

Q: What is the formula in the fifth record?
A: Ba2TeI

---

Q: Which of these has the highest total energy?
A: FeSb2IN

---

Q: The highest total energy belongs to which entry?
A: FeSb2IN

---

Q: Look up the DOS(E_F) of the first one.
A: 3.80 states/eV per cell